[1]
VASP calculation (PBE-GGA) on a relaxed CeTeRh crystal.

Lattice parameters (Å, degrees): 4.5723 6.6880 9.8979 90.00 90.00 90.00
With the nearest neighbours (Å) after each atom.
Atoms (fractional coordinates):
Te1 0.7500 0.2111 0.3686  3 Rh 2.73-2.74
Te2 0.7500 0.2889 0.8686  3 Rh 2.73-2.74
Te3 0.2500 0.7889 0.6314  3 Rh 2.73-2.74
Te4 0.2500 0.7111 0.1314  3 Rh 2.73-2.74
Ce1 0.2500 0.2937 0.6090  4 Rh 2.68-2.99
Ce2 0.7500 0.7063 0.3910  4 Rh 2.68-2.99
Ce3 0.7500 0.7937 0.8910  4 Rh 2.68-2.99
Ce4 0.2500 0.2063 0.1090  4 Rh 2.68-2.99
Rh1 0.7500 0.5683 0.6673  4 Ce 2.68-2.99, 3 Te 2.73-2.74
Rh2 0.2500 0.4317 0.3327  4 Ce 2.68-2.99, 3 Te 2.73-2.74
Rh3 0.7500 0.9317 0.1673  4 Ce 2.68-2.99, 3 Te 2.73-2.74
Rh4 0.2500 0.0683 0.8327  4 Ce 2.68-2.99, 3 Te 2.73-2.74

## Properties
Its space-group type is Pnma.

---

[2]
VASP calculation (PBE-GGA) on a relaxed Ce2Te3Rh crystal.

Lattice parameters (Å, degrees): 4.3581 11.9217 12.5871 90.00 90.00 90.00
With the nearest neighbours (Å) after each atom.
Atoms (fractional coordinates):
Rh1 0.2500 0.2595 0.2149  4 Te 2.62-2.93
Rh2 0.7500 0.7595 0.2851  4 Te 2.62-2.93
Rh3 0.2500 0.2405 0.7149  4 Te 2.62-2.93
Rh4 0.7500 0.7405 0.7851  4 Te 2.62-2.93
Ce1 0.2500 0.8114 0.9527  2 Rh 3.15, 7 Te 3.18-3.39
Ce2 0.7500 0.3114 0.5473  2 Rh 3.15, 7 Te 3.18-3.39
Ce3 0.2500 0.9812 0.2945  7 Te 3.21-3.52, 3 Rh 3.43-3.47
Ce4 0.2500 0.6886 0.4527  2 Rh 3.15, 7 Te 3.18-3.39
Ce5 0.2500 0.5188 0.7945  7 Te 3.21-3.52, 3 Rh 3.43-3.47
Ce6 0.7500 0.4812 0.2055  7 Te 3.21-3.52, 3 Rh 3.43-3.47
Ce7 0.7500 0.0188 0.7055  7 Te 3.21-3.52, 3 Rh 3.43-3.47
Ce8 0.7500 0.1886 0.0473  2 Rh 3.15, 7 Te 3.18-3.39
Te1 0.7500 0.9263 0.1139  1 Rh 2.93, 5 Ce 3.22-3.28
Te2 0.2500 0.8188 0.6926  2 Rh 2.64
Te3 0.2500 0.3832 0.0429  1 Rh 2.62
Te4 0.7500 0.1812 0.3074  2 Rh 2.64
Te5 0.2500 0.0737 0.8861  1 Rh 2.93, 5 Ce 3.22-3.28
Te6 0.7500 0.3188 0.8074  2 Rh 2.64
Te7 0.7500 0.8832 0.4571  1 Rh 2.62
Te8 0.2500 0.1168 0.5429  1 Rh 2.62
Te9 0.2500 0.4263 0.3861  1 Rh 2.93, 5 Ce 3.22-3.28
Te10 0.7500 0.6168 0.9571  1 Rh 2.62
Te11 0.7500 0.5737 0.6139  1 Rh 2.93, 5 Ce 3.22-3.28
Te12 0.2500 0.6812 0.1926  2 Rh 2.64

## Properties
Its space-group type is Pnma.

---

[3]
VASP calculation (PBE-GGA) on a relaxed Ce5Te2Rh crystal.

Lattice parameters (Å, degrees): 4.5905 7.8664 12.2391 90.00 90.00 90.00
With the nearest neighbours (Å) after each atom.
Atoms (fractional coordinates):
Rh1 0.0000 0.0000 0.0000  6 Ce 2.68-2.93
Rh2 0.0000 0.5000 0.5000  6 Ce 2.68-2.93
Ce1 0.5000 0.2121 0.0589  2 Rh 2.93
Ce2 0.0000 0.6292 0.7030  1 Rh 2.68
Ce3 0.5000 0.7879 0.9411  2 Rh 2.93
Ce4 0.5000 0.2879 0.5589  2 Rh 2.93
Ce5 0.0000 0.5000 0.0000  4 Te 3.24, 4 Ce 3.30
Ce6 0.0000 0.1292 0.7970  1 Rh 2.68
Ce7 0.0000 0.3708 0.2970  1 Rh 2.68
Ce8 0.5000 0.7121 0.4411  2 Rh 2.93
Ce9 0.0000 0.8708 0.2030  1 Rh 2.68
Ce10 0.0000 0.0000 0.5000  4 Te 3.24, 4 Ce 3.30
Te1 0.5000 0.0891 0.3219  9 Ce 3.20-3.36
Te2 0.5000 0.4109 0.8219  9 Ce 3.20-3.36
Te3 0.5000 0.9109 0.6781  9 Ce 3.20-3.36
Te4 0.5000 0.5891 0.1781  9 Ce 3.20-3.36

## Properties
Its space-group type is Pbam.

---

[4]
VASP calculation (PBE-GGA) on a relaxed Ce4TeRh crystal.

Lattice parameters (Å, degrees): 5.8578 7.9023 8.1593 110.28 99.98 112.55
With the nearest neighbours (Å) after each atom.
Atoms (fractional coordinates):
Rh1 0.2623 0.0123 0.0247  4 Ce 2.74-2.97, 2 Rh 2.95
Rh2 0.7377 0.9877 0.9753  4 Ce 2.74-2.97, 2 Rh 2.95
Ce1 0.3078 0.8816 0.6107  1 Ce 2.73
Ce2 0.9450 0.7877 0.1635  2 Rh 2.74-2.97, 1 Ce 3.01
Ce3 0.1971 0.2709 0.3893  1 Ce 2.73
Ce4 0.2815 0.6241 0.8365  2 Rh 2.74-2.97, 1 Ce 3.01
Ce5 0.8029 0.7291 0.6107  1 Ce 2.73
Ce6 0.7185 0.3759 0.1635  2 Rh 2.74-2.97, 1 Ce 3.01
Ce7 0.0550 0.2123 0.8365  2 Rh 2.74-2.97, 1 Ce 3.01
Ce8 0.6922 0.1184 0.3893  1 Ce 2.73
Te1 0.3694 0.6194 0.2389  10 Ce 3.20-3.37
Te2 0.6306 0.3806 0.7611  10 Ce 3.20-3.37

## Properties
Its space-group type is C2/c.

---

[5]
VASP calculation (PBE-GGA) on a relaxed Ce8TeRh2 crystal.

Lattice parameters (Å, degrees): 5.1529 8.3934 8.0210 58.45 82.80 76.14
With the nearest neighbours (Å) after each atom.
Atoms (fractional coordinates):
Rh1 0.0000 0.3025 0.3951  2 Ce 2.68
Rh2 0.0000 0.6975 0.6049  2 Ce 2.68
Ce1 0.9315 0.0780 0.2116  2 Ce 2.89-3.00, 2 Rh 3.03-3.08
Ce2 0.0685 0.9220 0.7884  2 Ce 2.89-3.00, 2 Rh 3.03-3.08
Ce3 0.6900 0.5923 0.0000  1 Ce 2.77
Ce4 0.5000 0.2481 0.5038  2 Rh 2.68
Ce5 0.3100 0.4077 0.0000  1 Ce 2.77
Ce6 0.0685 0.7103 0.2116  2 Ce 2.89-3.00, 2 Rh 3.03-3.08
Ce7 0.9315 0.2897 0.7884  2 Ce 2.89-3.00, 2 Rh 3.03-3.08
Ce8 0.5000 0.7519 0.4962  2 Rh 2.68
Te1 0.5000 0.0000 0.0000  12 Ce 3.30-3.39

## Properties
Its space-group type is C2/m.

---

[6]
VASP calculation (PBE-GGA) on a relaxed CeThTeRh crystal.

Lattice parameters (Å, degrees): 4.1344 4.1347 8.1308 90.00 104.73 120.00
With the nearest neighbours (Å) after each atom.
Atoms (fractional coordinates):
Te1 0.9693 0.3826 0.3670  3 Ce 3.30, 3 Th 3.32
Ce1 0.4974 0.1466 0.6593  3 Rh 2.91
Th1 0.1046 0.9502 0.0701  3 Rh 2.84
Rh1 0.3067 0.5513 0.8733  3 Th 2.84, 3 Ce 2.91

## Properties
Its space-group type is R3m.

---

| no. | DOS(E_F) (states/eV/cell) | formation energy from raw total energies (meV/atom) |
| --- | --- | --- |
| 1 | 21.8 | -1009 |
| 2 | 41.6 | -1152 |
| 3 | 48.9 | -834 |
| 4 | 30.7 | -607 |
| 5 | 31.1 | -408 |
| 6 | 6.7 | -990 |